This record from the Alexandria database describes a relaxed NdErNi crystal. The functional is PBE.

POSCAR file:
```
NdErNi
1.0
3.934 0.000 0.000
-1.967 3.407 0.000
0.000 0.000 6.239
Nd Er Ni
1 1 1
direct
0.000 0.000 0.000
0.333 0.667 0.489
0.667 0.333 0.260
```

Summary:
The calculation puts the total magnetization at 0.00 μB per cell. The total energy comes out at -5.16 eV/atom. The distance to the lowest polymorph of the same formula comes out at 0.130 eV per atom. As for the space group: P3m1. The energy of formation from the pure elements comes out at -0.38 eV per formula unit. The crystal system is trigonal.